(1)
Material: Li6Mg16Pd7
Method: DFT, PBE
State: relaxed

a = 9.226 Å, b = 9.226 Å, c = 9.226 Å
α = 60.00°, β = 60.00°, γ = 60.00°
Fractional coordinates of all 29 atoms:
Li1 0.232 0.232 0.768
Li2 0.232 0.768 0.232
Li3 0.232 0.768 0.768
Li4 0.768 0.232 0.232
Li5 0.768 0.232 0.768
Li6 0.768 0.768 0.232
Mg1 0.139 0.620 0.620
Mg2 0.149 0.149 0.149
Mg3 0.149 0.149 0.552
Mg4 0.149 0.552 0.149
Mg5 0.380 0.380 0.380
Mg6 0.380 0.380 0.861
Mg7 0.380 0.861 0.380
Mg8 0.448 0.851 0.851
Mg9 0.552 0.149 0.149
Mg10 0.620 0.139 0.620
Mg11 0.620 0.620 0.139
Mg12 0.620 0.620 0.620
Mg13 0.851 0.448 0.851
Mg14 0.851 0.851 0.448
Mg15 0.851 0.851 0.851
Mg16 0.861 0.380 0.380
Pd1 0.000 0.000 0.500
Pd2 0.000 0.500 0.000
Pd3 0.000 0.500 0.500
Pd4 0.500 0.000 0.000
Pd5 0.500 0.000 0.500
Pd6 0.500 0.500 0.000
Pd7 0.500 0.500 0.500

Properties
The formation energy comes out at -1191 kJ/mol of formula units. Its density of states at the Fermi level is 12.03 states/eV/cell. The calculation puts the theoretical density at 3.515 Mg/m³.

(2)
Material: Li12Mg2Pd
Method: DFT, PBE
State: relaxed

a = 5.631 Å, b = 5.631 Å, c = 19.292 Å
α = 90.00°, β = 90.00°, γ = 90.00°
Fractional coordinates of all 30 atoms:
Li1 0.000 0.000 0.080
Li2 0.000 0.000 0.920
Li3 0.000 0.500 0.080
Li4 0.000 0.500 0.920
Li5 0.072 0.572 0.435
Li6 0.072 0.928 0.565
Li7 0.250 0.250 0.197
Li8 0.250 0.250 0.333
Li9 0.250 0.250 0.667
Li10 0.250 0.250 0.803
Li11 0.428 0.572 0.565
Li12 0.428 0.928 0.435
Li13 0.500 0.000 0.080
Li14 0.500 0.000 0.920
Li15 0.500 0.500 0.080
Li16 0.500 0.500 0.920
Li17 0.572 0.072 0.565
Li18 0.572 0.428 0.435
Li19 0.750 0.750 0.197
Li20 0.750 0.750 0.333
Li21 0.750 0.750 0.667
Li22 0.750 0.750 0.803
Li23 0.928 0.072 0.435
Li24 0.928 0.428 0.565
Mg1 0.250 0.750 0.271
Mg2 0.250 0.750 0.729
Mg3 0.750 0.250 0.271
Mg4 0.750 0.250 0.729
Pd1 0.250 0.750 0.000
Pd2 0.750 0.250 0.000

Properties
The formation energy comes out at 60 kJ/mol of formula units. Its density of states at the Fermi level is 13.40 states/eV/cell. The calculation puts the theoretical density at 1.294 Mg/m³.

(3)
Material: LiMg2Pd2
Method: DFT, PBE
State: relaxed

a = 8.378 Å, b = 7.157 Å, c = 5.699 Å
α = 90.00°, β = 90.00°, γ = 90.00°
Fractional coordinates of all 20 atoms:
Li1 0.120 0.086 0.250
Li2 0.120 0.414 0.750
Li3 0.880 0.586 0.250
Li4 0.880 0.914 0.750
Mg1 0.186 0.041 0.750
Mg2 0.186 0.459 0.250
Mg3 0.383 0.607 0.750
Mg4 0.383 0.893 0.250
Mg5 0.617 0.107 0.750
Mg6 0.617 0.393 0.250
Mg7 0.814 0.541 0.750
Mg8 0.814 0.959 0.250
Pd1 0.100 0.750 0.000
Pd2 0.100 0.750 0.500
Pd3 0.376 0.250 0.000
Pd4 0.376 0.250 0.500
Pd5 0.624 0.750 0.000
Pd6 0.624 0.750 0.500
Pd7 0.900 0.250 0.000
Pd8 0.900 0.250 0.500

Properties
The formation energy comes out at -239 kJ/mol of formula units. The value obtained for the energy above the most stable polymorph in this dataset is 0.054 eV per atom. Its density of states at the Fermi level is 5.97 states/eV/cell. The calculation puts the theoretical density at 5.217 Mg/m³.

(4)
Material: Li3Mg6Pd
Method: DFT, PBE
State: relaxed

a = 7.898 Å, b = 7.898 Å, c = 7.898 Å
α = 108.05°, β = 108.05°, γ = 108.05°
Fractional coordinates of all 20 atoms:
Li1 0.115 0.264 0.377
Li2 0.264 0.377 0.115
Li3 0.377 0.115 0.264
Li4 0.623 0.885 0.736
Li5 0.736 0.623 0.885
Li6 0.885 0.736 0.623
Mg1 0.016 0.134 0.698
Mg2 0.134 0.698 0.016
Mg3 0.203 0.654 0.440
Mg4 0.302 0.984 0.866
Mg5 0.346 0.560 0.797
Mg6 0.440 0.203 0.654
Mg7 0.560 0.797 0.346
Mg8 0.654 0.440 0.203
Mg9 0.698 0.016 0.134
Mg10 0.797 0.346 0.560
Mg11 0.866 0.302 0.984
Mg12 0.984 0.866 0.302
Pd1 0.000 0.000 0.000
Pd2 0.500 0.500 0.500

Properties
The formation energy comes out at -145 kJ/mol of formula units. Its density of states at the Fermi level is 4.69 states/eV/cell. The calculation puts the theoretical density at 2.278 Mg/m³.

(5)
Material: Li3Mg3Pd
Method: DFT, PBE
State: relaxed

a = 10.074 Å, b = 10.074 Å, c = 10.074 Å
α = 33.94°, β = 33.94°, γ = 33.94°
Fractional coordinates of all 14 atoms:
Li1 0.087 0.509 0.779
Li2 0.221 0.913 0.491
Li3 0.491 0.221 0.913
Li4 0.509 0.779 0.087
Li5 0.779 0.087 0.509
Li6 0.913 0.491 0.221
Mg1 0.164 0.704 0.262
Mg2 0.262 0.164 0.704
Mg3 0.296 0.738 0.836
Mg4 0.704 0.262 0.164
Mg5 0.738 0.836 0.296
Mg6 0.836 0.296 0.738
Pd1 0.293 0.293 0.293
Pd2 0.707 0.707 0.707

Properties
The formation energy comes out at -106 kJ/mol of formula units. The value obtained for the energy above the most stable polymorph in this dataset is 0.045 eV per atom. Its density of states at the Fermi level is 8.14 states/eV/cell. The calculation puts the theoretical density at 2.341 Mg/m³.

(6)
Material: Li8MgPd2
Method: DFT, PBE
State: relaxed

a = 6.468 Å, b = 6.468 Å, c = 6.447 Å
α = 103.93°, β = 103.93°, γ = 48.69°
Fractional coordinates of all 11 atoms:
Li1 0.085 0.085 0.376
Li2 0.122 0.642 0.055
Li3 0.279 0.279 0.682
Li4 0.358 0.878 0.945
Li5 0.642 0.122 0.055
Li6 0.721 0.721 0.318
Li7 0.878 0.358 0.945
Li8 0.915 0.915 0.624
Mg1 0.500 0.500 0.500
Pd1 0.277 0.277 0.275
Pd2 0.723 0.723 0.725

Properties
The formation energy comes out at -186 kJ/mol of formula units. The value obtained for the energy above the most stable polymorph in this dataset is 0.000 eV per atom. Its density of states at the Fermi level is 2.56 states/eV/cell. The calculation puts the theoretical density at 2.487 Mg/m³.

(7)
Material: Li8Mg3Pd
Method: DFT, PBE
State: relaxed

a = 7.155 Å, b = 7.155 Å, c = 7.155 Å
α = 117.26°, β = 117.26°, γ = 94.82°
Fractional coordinates of all 12 atoms:
Li1 0.096 0.096 0.747
Li2 0.196 0.196 0.463
Li3 0.266 0.804 0.000
Li4 0.349 0.349 0.253
Li5 0.651 0.904 0.000
Li6 0.734 0.734 0.537
Li7 0.804 0.266 0.000
Li8 0.904 0.651 0.000
Mg1 0.250 0.750 0.500
Mg2 0.500 0.500 0.000
Mg3 0.750 0.250 0.500
Pd1 0.000 0.000 0.000

Properties
The formation energy comes out at 110 kJ/mol of formula units. Its density of states at the Fermi level is 4.97 states/eV/cell. The calculation puts the theoretical density at 1.451 Mg/m³.

(8)
Material: LiMg2Pd2
Method: DFT, PBE
State: relaxed

a = 7.667 Å, b = 7.667 Å, c = 2.966 Å
α = 90.00°, β = 90.00°, γ = 90.00°
Fractional coordinates of all 10 atoms:
Li1 0.000 0.000 0.000
Li2 0.500 0.500 0.000
Mg1 0.143 0.357 0.000
Mg2 0.357 0.857 0.000
Mg3 0.643 0.143 0.000
Mg4 0.857 0.643 0.000
Pd1 0.153 0.653 0.500
Pd2 0.347 0.153 0.500
Pd3 0.653 0.847 0.500
Pd4 0.847 0.347 0.500

Properties
The formation energy comes out at -253 kJ/mol of formula units. The value obtained for the energy above the most stable polymorph in this dataset is 0.026 eV per atom. Its density of states at the Fermi level is 3.66 states/eV/cell. The calculation puts the theoretical density at 5.111 Mg/m³.

> Which formula does entry 5 have?

Li3Mg3Pd

> Which of these has the highest theoretical density?

number 3

> Look up the theoretical density of the fourth one.

2.278 Mg/m³